(1)
Below is crystalline DyLuBe at its relaxed geometry, with properties calculated at the PBE level. Values from VASP.

Results
Energy = -12.6 eV/f.u.
SG = No. 107
N(E_F) = 3.1 states/eV/f.u.

Geometry as Quantum ESPRESSO input:
```
&SYSTEM
  ibrav = 0, nat = 6, ntyp = 3
/
ATOMIC_SPECIES
Dy 162.50 Dy.upf
Lu 174.97 Lu.upf
Be 9.01 Be.upf
CELL_PARAMETERS angstrom
3.414 0.000 0.000
0.000 3.414 0.000
0.000 0.000 11.878
ATOMIC_POSITIONS angstrom
Dy 0.000 0.000 0.000
Dy 1.707 1.707 5.939
Lu 0.000 0.000 3.236
Lu 1.707 1.707 9.175
Be 0.000 0.000 7.634
Be 1.707 1.707 1.695
```

(2)
Below is crystalline NbGaSi3 at its relaxed geometry, with properties calculated at the PBE level. Values from VASP.

Results
Formation energy without anion corrections = 1.279 eV/atom
Excess energy over the best structure of this formula in the dataset = 707.9 meV/atom
SG = No. 221
N(E_F) = 6.5 states/eV/f.u.

Geometry as Quantum ESPRESSO input:
```
&SYSTEM
  ibrav = 0, nat = 5, ntyp = 3
/
ATOMIC_SPECIES
Nb 92.91 Nb.upf
Ga 69.72 Ga.upf
Si 28.09 Si.upf
CELL_PARAMETERS angstrom
4.614 0.000 0.000
0.000 4.614 0.000
0.000 0.000 4.614
ATOMIC_POSITIONS angstrom
Nb 0.000 0.000 0.000
Ga 2.307 2.307 2.307
Si 0.000 2.307 2.307
Si 2.307 0.000 2.307
Si 2.307 2.307 0.000
```

(3)
Below is crystalline Tb3CSeCl at its relaxed geometry, with properties calculated at the PBE level. Values from VASP.

Results
Formation energy without anion corrections = -1.169 eV/atom
SG = No. 11
N(E_F) = 2.0 states/eV/f.u.

Geometry as Quantum ESPRESSO input:
```
&SYSTEM
  ibrav = 0, nat = 12, ntyp = 4
/
ATOMIC_SPECIES
Tb 158.93 Tb.upf
C 12.01 C.upf
Se 78.96 Se.upf
Cl 35.45 Cl.upf
CELL_PARAMETERS angstrom
7.892 0.000 0.000
0.000 3.803 0.000
-0.567 0.000 10.115
ATOMIC_POSITIONS angstrom
Tb 0.528 0.951 3.863
Tb 0.521 0.951 8.777
Tb 2.393 2.852 6.349
Tb 4.933 0.951 3.766
Tb 6.804 2.852 1.338
Tb 6.798 2.852 6.252
C 0.674 0.951 6.411
C 6.651 2.852 3.704
Se 2.704 2.852 3.471
Se 4.622 0.951 6.644
Cl 2.429 2.852 9.130
Cl 4.896 0.951 0.985
```

(4)
Below is crystalline UI4N2 at its relaxed geometry, with properties calculated at the PBE level. Values from VASP.

Results
Formation energy without anion corrections = 0.983 eV/atom
SG = No. 166
N(E_F) = 10.3 states/eV/f.u.

Geometry as Quantum ESPRESSO input:
```
&SYSTEM
  ibrav = 0, nat = 7, ntyp = 3
/
ATOMIC_SPECIES
U 238.03 U.upf
I 126.90 I.upf
N 14.01 N.upf
CELL_PARAMETERS angstrom
2.820 1.628 10.098
-2.820 1.628 10.098
0.000 -3.256 10.098
ATOMIC_POSITIONS angstrom
U 0.000 0.000 0.000
I 0.000 0.000 2.925
I 0.000 0.000 9.500
I 0.000 0.000 20.796
I 0.000 0.000 27.370
N 0.000 0.000 6.073
N 0.000 0.000 24.223
```